[1]
Entry from Alexandria via LeMat-Bulk: a relaxed ScIn2Se crystal (GGA-PBE).

The structure in POSCAR format:
```
ScIn2Se
1.0
1.826 1.054 8.558
-1.826 1.054 8.558
0.000 -2.108 8.558
Sc In Se
1 2 1
direct
0.000 0.000 0.000 Sc
0.242 0.242 0.242 In
0.758 0.758 0.758 In
0.500 0.500 0.500 Se
```

***

[2]
Entry from Alexandria via LeMat-Bulk: a relaxed ScInSe crystal (GGA-PBE).

The structure in POSCAR format:
```
ScInSe
1.0
4.554 0.000 0.000
-2.277 3.944 0.000
0.000 0.000 4.209
Sc In Se
1 1 1
direct
0.000 0.000 0.000 Sc
0.333 0.667 0.500 In
0.667 0.333 0.000 Se
```

Results
For the energy above the most stable polymorph in this dataset, the calculation gives 0.221 eV per atom.

***

[3]
Entry from Alexandria via LeMat-Bulk: a relaxed ScIn3Se crystal (GGA-PBE).

The structure in POSCAR format:
```
ScIn3Se
1.0
5.651 0.000 0.000
0.000 5.651 0.000
0.000 0.000 5.651
Sc In Se
1 3 1
direct
0.000 0.000 0.000 Sc
0.000 0.000 0.500 In
0.000 0.500 0.000 In
0.500 0.000 0.000 In
0.500 0.500 0.500 Se
```

Results
For the energy above the most stable polymorph in this dataset, the calculation gives 0.101 eV per atom.

***

[4]
Entry from Alexandria via LeMat-Bulk: a relaxed Sc3InSe crystal (GGA-PBE).

The structure in POSCAR format:
```
Sc3InSe
1.0
6.612 0.000 0.000
0.000 4.014 0.000
-1.592 0.000 8.401
Sc In Se
6 2 2
direct
0.034 0.250 0.196 Sc
0.339 0.750 0.418 Sc
0.462 0.750 0.820 Sc
0.538 0.250 0.180 Sc
0.661 0.250 0.582 Sc
0.966 0.750 0.804 Sc
0.163 0.250 0.616 In
0.837 0.750 0.384 In
0.260 0.750 0.079 Se
0.740 0.250 0.921 Se
```

Results
For the energy above the most stable polymorph in this dataset, the calculation gives 0.000 eV per atom.

***

[5]
Entry from Alexandria via LeMat-Bulk: a relaxed ScInSe crystal (GGA-PBE).

The structure in POSCAR format:
```
ScInSe
1.0
3.724 0.000 0.000
-1.862 3.225 0.000
0.000 0.000 6.276
Sc In Se
1 1 1
direct
0.000 0.000 0.000 Sc
0.333 0.667 0.642 In
0.667 0.333 0.240 Se
```

Results
For the energy above the most stable polymorph in this dataset, the calculation gives 0.123 eV per atom.

***

[6]
Entry from Alexandria via LeMat-Bulk: a relaxed ScIn2Se crystal (GGA-PBE).

The structure in POSCAR format:
```
ScIn2Se
1.0
-4.129 4.129 2.943
4.129 -4.129 2.943
4.129 4.129 -2.943
Sc In Se
2 4 2
direct
0.000 0.000 0.000 Sc
0.750 0.250 0.500 Sc
0.137 0.625 0.012 In
0.375 0.387 0.512 In
0.613 0.125 0.988 In
0.875 0.863 0.488 In
0.250 0.750 0.500 Se
0.500 0.500 0.000 Se
```

***

[7]
Entry from Alexandria via LeMat-Bulk: a relaxed ScIn2Se crystal (GGA-PBE).

The structure in POSCAR format:
```
ScIn2Se
1.0
3.016 -4.185 0.000
3.016 4.185 0.000
0.000 0.000 3.731
Sc In Se
1 2 1
direct
0.000 0.000 0.000 Sc
0.000 0.500 0.500 In
0.500 0.000 0.500 In
0.500 0.500 0.000 Se
```

***

[8]
Entry from Alexandria via LeMat-Bulk: a relaxed ScIn2Se crystal (GGA-PBE).

The structure in POSCAR format:
```
ScIn2Se
1.0
-1.757 2.685 5.183
1.757 -2.685 5.183
1.757 2.685 -5.183
Sc In Se
1 2 1
direct
0.000 0.000 0.000 Sc
0.260 0.760 0.500 In
0.541 0.541 0.000 In
0.813 0.313 0.500 Se
```

***

Electronic total energy: -4.05; -4.81; -3.08; -5.83; -4.91; -4.09; -4.15; -4.31 (eV per atom)
E_form (uncorrected): -230; -623; 529; -787; -722; -262; -329; -482 (meV/atom)